Record 1
Material: CeGeC
Method: DFT, PBE
State: optimized geometry

extended XYZ file:
```
3
Lattice="-2.355 1.755 0.901 -1.876 -2.426 -0.178 3.115 -0.789 4.445" Properties=species:S:1:pos:R:3 pbc="T T T"
Ge 0.472 -0.531 2.267
C -1.811 -0.678 1.823
Ce -1.191 -1.375 4.804
```

Properties
D(E_F): 1.769 states/eV per atom
VASP energy: -5.9844 eV per atom
E above lowest polymorph: 2.32 eV/f.u.
Energy of formation: 0.607 eV per atom
Symmetry: I4mm

Record 2
Material: Tm8Pt2Rh
Method: DFT, PBE
State: optimized geometry

extended XYZ file:
```
11
Lattice="5.715 0.038 -0.973 -1.906 6.708 -2.832 -0.098 -0.124 7.525" Properties=species:S:1:pos:R:3 pbc="T T T"
Tm 2.672 2.272 -0.902
Tm 3.133 0.531 1.737
Tm 0.237 2.381 1.529
Tm 5.168 1.392 4.344
Tm 4.137 5.288 -1.562
Tm 3.345 4.275 2.236
Tm 0.356 6.132 2.051
Tm 0.817 4.393 4.687
Pt 1.442 4.637 -0.067
Pt 2.127 2.050 3.855
Rh 0.765 0.023 -0.118
```

Properties
D(E_F): 0.967 states/eV per atom
VASP energy: -5.6253 eV per atom
E above lowest polymorph: 0.97 eV/f.u.
Energy of formation: -0.607 eV per atom
Symmetry: Cm